1.
## NaNpPtO6 (PBE-GGA)

Data for an optimized crystal structure of NaNpPtO6.

Uncorrected formation energy = -1712 meV/atom
E_tot = -0.2673 Ha/atom

a = 5.307 Å, b = 5.307 Å, c = 10.627 Å
α = 90.00°, β = 90.00°, γ = 120.00°
Positions (direct):
Na  0.000  0.000  0.000
Na  0.000  0.000  0.500
Np  0.333  0.667  0.250
Np  0.667  0.333  0.750
Pt  0.333  0.667  0.750
Pt  0.667  0.333  0.250
O  0.001  0.356  0.645
O  0.001  0.645  0.855
O  0.355  0.356  0.855
O  0.355  0.999  0.645
O  0.356  0.001  0.145
O  0.356  0.355  0.355
O  0.644  0.645  0.645
O  0.644  0.999  0.855
O  0.645  0.001  0.355
O  0.645  0.644  0.145
O  0.999  0.355  0.145
O  0.999  0.644  0.355

2.
## NaNpPt2O8 (PBE-GGA)

Data for an optimized crystal structure of NaNpPt2O8.

Uncorrected formation energy = -1340 meV/atom
E_tot = -0.2514 Ha/atom

a = 4.898 Å, b = 6.407 Å, c = 4.913 Å
α = 90.00°, β = 92.71°, γ = 90.00°
Positions (direct):
Na  0.000  0.000  0.000
Np  0.000  0.500  0.000
Pt  0.500  0.248  0.500
Pt  0.500  0.752  0.500
O  0.206  0.274  0.203
O  0.206  0.726  0.203
O  0.317  0.500  0.679
O  0.326  0.000  0.670
O  0.674  0.000  0.330
O  0.683  0.500  0.321
O  0.794  0.274  0.797
O  0.794  0.726  0.797

3.
## Na2NpPtO6 (PBE-GGA)

Data for an optimized crystal structure of Na2NpPtO6.

Uncorrected formation energy = -1725 meV/atom
E_tot = -0.2522 Ha/atom

a = 5.696 Å, b = 5.696 Å, c = 4.200 Å
α = 90.00°, β = 90.00°, γ = 90.00°
Positions (direct):
Na  0.000  0.500  0.000
Na  0.500  0.000  0.000
Np  0.000  0.000  0.502
Pt  0.500  0.500  0.503
O  0.000  0.000  0.003
O  0.252  0.252  0.503
O  0.252  0.748  0.503
O  0.500  0.500  0.003
O  0.748  0.252  0.503
O  0.748  0.748  0.503

4.
## NaPuNpO6 (PBE-GGA)

Data for an optimized crystal structure of NaPuNpO6.

Uncorrected formation energy = -2562 meV/atom
E_tot = -0.3324 Ha/atom

a = 5.845 Å, b = 5.845 Å, c = 9.855 Å
α = 90.00°, β = 90.00°, γ = 120.00°
Positions (direct):
Na  0.000  0.000  0.000
Na  0.000  0.000  0.500
Pu  0.333  0.667  0.250
Pu  0.667  0.333  0.750
Np  0.333  0.667  0.750
Np  0.667  0.333  0.250
O  0.010  0.378  0.645
O  0.010  0.632  0.855
O  0.368  0.378  0.855
O  0.368  0.990  0.645
O  0.378  0.010  0.145
O  0.378  0.368  0.355
O  0.622  0.632  0.645
O  0.622  0.990  0.855
O  0.632  0.010  0.355
O  0.632  0.622  0.145
O  0.990  0.368  0.145
O  0.990  0.622  0.355

5.
## Rb2NaNp2O7 (PBE-GGA)

Data for an optimized crystal structure of Rb2NaNp2O7.

Uncorrected formation energy = -2509 meV/atom
E_tot = -0.2877 Ha/atom

a = 11.757 Å, b = 11.757 Å, c = 11.757 Å
α = 158.94°, β = 158.94°, γ = 29.96°
Positions (direct):
Rb  0.190  0.190  0.000
Rb  0.810  0.810  0.000
Na  0.000  0.000  0.000
Np  0.408  0.408  0.000
Np  0.592  0.592  0.000
O  0.089  0.589  0.500
O  0.321  0.321  0.000
O  0.411  0.911  0.500
O  0.500  0.500  0.000
O  0.589  0.089  0.500
O  0.679  0.679  0.000
O  0.911  0.411  0.500

6.
## Rb2NaNpO6 (PBE-GGA)

Data for an optimized crystal structure of Rb2NaNpO6.

Uncorrected formation energy = -1884 meV/atom
E_tot = -0.2381 Ha/atom

a = 6.238 Å, b = 6.238 Å, c = 6.238 Å
α = 60.00°, β = 60.00°, γ = 60.00°
Positions (direct):
Rb  0.250  0.250  0.250
Rb  0.750  0.750  0.750
Na  0.000  0.000  0.000
Np  0.500  0.500  0.500
O  0.277  0.277  0.723
O  0.277  0.723  0.277
O  0.277  0.723  0.723
O  0.723  0.277  0.277
O  0.723  0.277  0.723
O  0.723  0.723  0.277

7.
## RbNa2NpO4 (PBE-GGA)

Data for an optimized crystal structure of RbNa2NpO4.

Uncorrected formation energy = -2133 meV/atom
E_tot = -0.2455 Ha/atom

a = 7.565 Å, b = 7.565 Å, c = 7.565 Å
α = 127.68°, β = 125.17°, γ = 79.20°
Positions (direct):
Rb  0.500  0.000  0.000
Rb  0.500  0.500  0.500
Na  0.000  0.000  0.000
Na  0.000  0.000  0.500
Na  0.000  0.500  0.000
Na  0.500  0.000  0.500
Np  0.000  0.500  0.500
Np  0.500  0.500  0.000
O  0.140  0.670  0.470
O  0.258  0.282  0.524
O  0.258  0.733  0.976
O  0.300  0.330  0.970
O  0.700  0.670  0.030
O  0.742  0.267  0.024
O  0.742  0.718  0.476
O  0.860  0.330  0.530

8.
## Rb2Na2NpO6 (PBE-GGA)

Data for an optimized crystal structure of Rb2Na2NpO6.

Uncorrected formation energy = -1959 meV/atom
E_tot = -0.2299 Ha/atom

a = 5.947 Å, b = 5.947 Å, c = 6.879 Å
α = 100.96°, β = 100.96°, γ = 116.70°
Positions (direct):
Rb  0.183  0.817  0.000
Rb  0.817  0.183  0.000
Na  0.341  0.659  0.500
Na  0.659  0.341  0.500
Np  0.000  0.000  0.500
O  0.049  0.337  0.677
O  0.203  0.203  0.330
O  0.337  0.049  0.677
O  0.663  0.951  0.323
O  0.797  0.797  0.670
O  0.951  0.663  0.323